[1]
A plane-wave DFT calculation with GGA-PBEsol was carried out for an optimized crystal structure of AsIrAu2.

Output
* energy of formation from the pure elements: 0.34 eV per atom

Lattice parameters (Å, degrees): 2.914 4.582 4.891 90.00 90.00 90.00
Fractional positions:
As1 0.000 0.000 0.000
Ir1 0.500 0.500 0.000
Au1 0.000 0.500 0.500
Au2 0.500 0.000 0.500

---

[2]
A plane-wave DFT calculation with GGA-PBEsol was carried out for an optimized crystal structure of Ca3Mg3Cu.

Output
* energy of formation from the pure elements: -0.02 eV per atom

Lattice parameters (Å, degrees): 9.836 9.836 4.622 90.00 90.00 120.00
Fractional positions:
Ca1 0.164 0.328 0.250
Ca2 0.164 0.836 0.250
Ca3 0.328 0.164 0.750
Ca4 0.672 0.836 0.250
Ca5 0.836 0.164 0.750
Ca6 0.836 0.672 0.750
Mg1 0.127 0.564 0.750
Mg2 0.436 0.564 0.750
Mg3 0.436 0.873 0.750
Mg4 0.564 0.127 0.250
Mg5 0.564 0.436 0.250
Mg6 0.873 0.436 0.250
Cu1 0.333 0.667 0.250
Cu2 0.667 0.333 0.750

---

[3]
A plane-wave DFT calculation with GGA-PBEsol was carried out for an optimized crystal structure of BeBi2ClO.

Output
* raw total energy: -3.63 eV/atom

Lattice parameters (Å, degrees): 4.953 4.953 4.120 90.00 90.00 90.00
Fractional positions:
Be1 0.000 0.000 0.000
Bi1 0.000 0.500 0.000
Bi2 0.500 0.000 0.000
Cl1 0.000 0.000 0.500
O1 0.500 0.500 0.500

---

Number 1: ρ 16.81 g/cm³. Number 2: ρ 2.20 g/cm³. Number 3: ρ 7.86 g/cm³.